{
  "formula": "CeNd3",
  "functional": "SCAN",
  "state": "single point on PBEsol structure",
  "lattice_angstrom": [[5.000, 0.000, 0.000], [0.000, 5.000, 0.000], [0.000, 0.000, 5.000]],
  "species": ["Nd", "Nd", "Nd", "Ce"],
  "frac_coords": [[0.000, 0.500, 0.500], [0.500, 0.500, 0.000], [0.500, 0.000, 0.500], [0.000, 0.000, 0.000]],
  "e_tot_ev_per_atom": -43.756,
  "formation_energy_mev_per_atom": 72
}

{
  "formula": "Nd3Ga5O12",
  "functional": "SCAN",
  "state": "single point on PBEsol structure",
  "lattice_angstrom": [[-6.574, -8.393, -1.871], [4.381, 3.302, -9.331], [7.857, -3.019, 6.806]],
  "species": ["O", "O", "O", "O", "O", "O", "O", "O", "O", "O", "O", "O", "O", "O", "O", "O", "O", "O", "O", "O", "O", "O", "O", "O", "O", "O", "O", "O", "O", "O", "O", "O", "O", "O", "O", "O", "O", "O", "O", "O", "O", "O", "O", "O", "O", "O", "O", "O", "Ga", "Ga", "Ga", "Ga", "Ga", "Ga", "Ga", "Ga", "Ga", "Ga", "Ga", "Ga", "Ga", "Ga", "Ga", "Ga", "Ga", "Ga", "Ga", "Ga", "Nd", "Nd", "Nd", "Nd", "Nd", "Nd", "Nd", "Nd", "Nd", "Nd", "Nd", "Nd"],
  "frac_coords": [[0.702, 0.083, 0.178], [0.381, 0.477, 0.798], [0.523, 0.702, 0.119], [0.119, 0.202, 0.523], [0.298, 0.917, 0.822], [0.417, 0.619, 0.595], [0.678, 0.977, 0.595], [0.095, 0.678, 0.477], [0.595, 0.119, 0.417], [0.417, 0.798, 0.322], [0.178, 0.595, 0.977], [0.977, 0.881, 0.298], [0.881, 0.083, 0.905], [0.917, 0.595, 0.619], [0.595, 0.477, 0.678], [0.405, 0.881, 0.583], [0.322, 0.298, 0.417], [0.905, 0.322, 0.523], [0.477, 0.178, 0.095], [0.477, 0.298, 0.881], [0.095, 0.417, 0.119], [0.405, 0.523, 0.322], [0.822, 0.405, 0.023], [0.381, 0.905, 0.083], [0.583, 0.381, 0.405], [0.583, 0.202, 0.678], [0.798, 0.822, 0.917], [0.202, 0.178, 0.083], [0.023, 0.905, 0.822], [0.619, 0.523, 0.202], [0.523, 0.822, 0.905], [0.619, 0.095, 0.917], [0.083, 0.678, 0.202], [0.298, 0.381, 0.977], [0.798, 0.977, 0.381], [0.202, 0.023, 0.619], [0.119, 0.917, 0.095], [0.083, 0.405, 0.381], [0.917, 0.322, 0.798], [0.702, 0.619, 0.023], [0.822, 0.417, 0.298], [0.905, 0.583, 0.881], [0.977, 0.095, 0.178], [0.322, 0.023, 0.405], [0.678, 0.702, 0.583], [0.023, 0.119, 0.702], [0.881, 0.798, 0.477], [0.178, 0.583, 0.702], [0.500, 0.000, 0.000], [0.875, 0.125, 0.750], [0.000, 0.000, 0.000], [0.000, 0.500, 0.000], [0.250, 0.375, 0.125], [0.125, 0.875, 0.250], [0.500, 0.500, 0.500], [0.500, 0.000, 0.500], [0.000, 0.500, 0.500], [0.375, 0.750, 0.125], [0.750, 0.625, 0.875], [0.875, 0.750, 0.625], [0.250, 0.875, 0.625], [0.500, 0.500, 0.000], [0.000, 0.000, 0.500], [0.625, 0.250, 0.875], [0.625, 0.375, 0.250], [0.750, 0.125, 0.375], [0.125, 0.250, 0.375], [0.375, 0.625, 0.750], [0.125, 0.375, 0.750], [0.250, 0.625, 0.375], [0.750, 0.875, 0.125], [0.875, 0.250, 0.125], [0.125, 0.750, 0.875], [0.875, 0.625, 0.250], [0.375, 0.250, 0.625], [0.750, 0.375, 0.625], [0.625, 0.875, 0.750], [0.250, 0.125, 0.875], [0.375, 0.125, 0.250], [0.625, 0.750, 0.375]],
  "formation_energy_uncorrected_kj_per_mol_fu": -5319,
  "e_tot_ev_per_atom": -17.119
}

{
  "formula": "Mn2InCo",
  "functional": "SCAN",
  "state": "single point on PBEsol structure",
  "lattice_angstrom": [[-2.908, 0.568, 1.968], [-2.278, -0.726, -3.156], [-0.102, -3.840, 0.957]],
  "species": ["In", "Mn", "Mn", "Co"],
  "frac_coords": [[0.500, 0.000, 0.000], [0.000, 0.500, 0.000], [0.000, 0.000, 0.500], [0.500, 0.500, 0.500]],
  "e_tot_ev_per_atom": -21.909,
  "formation_energy_mev_per_atom": -109
}

{
  "formula": "Zr2TlCu",
  "functional": "SCAN",
  "state": "single point on PBEsol structure",
  "lattice_angstrom": [[4.304, 0.000, 0.000], [0.000, 4.304, 0.000], [-2.152, -2.152, 4.151]],
  "species": ["Zr", "Zr", "Tl", "Cu"],
  "frac_coords": [[0.750, 0.250, 0.500], [0.250, 0.750, 0.500], [0.000, 0.000, 0.000], [0.500, 0.500, 0.000]],
  "e_tot_ev_per_atom": -37.387,
  "formation_energy_mev_per_atom": -149
}

{
  "formula": "CrOsN2F",
  "functional": "SCAN",
  "state": "single point on PBEsol structure",
  "lattice_angstrom": [[3.793, 0.000, 0.000], [0.000, 3.793, 0.000], [0.000, 0.000, 4.289]],
  "species": ["Os", "N", "N", "F", "Cr"],
  "frac_coords": [[0.000, 0.000, 0.000], [0.000, 0.500, 0.000], [0.500, 0.000, 0.000], [0.000, 0.000, 0.500], [0.500, 0.500, 0.500]],
  "formation_energy_uncorrected_kj_per_mol_fu": 118,
  "e_tot_ev_per_atom": -22.232
}

{
  "formula": "SrAg2Os",
  "functional": "SCAN",
  "state": "single point on PBEsol structure",
  "lattice_angstrom": [[2.837, 0.000, 0.000], [0.000, 5.197, 0.000], [-1.419, -2.599, 5.401]],
  "species": ["Ag", "Ag", "Os", "Sr"],
  "frac_coords": [[0.217, 0.217, 0.434], [0.783, 0.783, 0.566], [0.500, 0.000, 0.000], [0.000, 0.500, 0.000]],
  "relative_energy_mev_per_atom": 0.0,
  "e_tot_ev_per_atom": -38.582,
  "formation_energy_mev_per_atom": 640
}